[1]
The following is a DFT calculation (PBE) of an optimized crystal structure of PrHo2Mg9.

Results
- E_tot (eV/cell) = -28.921
- formation energy from the elements (eV/f.u.) = -0.63
- magnetization (Bohr magnetons per cell) = 0.0

Structure (CIF):
```
data_PrHo2Mg9
_space_group_name_H-M_alt 'P 1'
_space_group_IT_number 1
_space_group_name_Hall 'P 1'
_cell_length_a 6.0482
_cell_length_b 6.0482
_cell_length_c 10.3862
_cell_angle_alpha 73.07
_cell_angle_beta 73.07
_cell_angle_gamma 60.00
loop_
_atom_site_label
_atom_site_type_symbol
_atom_site_fract_x
_atom_site_fract_y
_atom_site_fract_z
Ho1 Ho 0.8555 0.8555 0.4335
Ho2 Ho 0.1445 0.1445 0.5665
Mg1 Mg 0.5875 0.0797 0.7452
Mg2 Mg 0.4125 0.4125 0.2548
Mg3 Mg 0.5000 0.5000 0.5000
Mg4 Mg 0.6659 0.6659 0.0022
Mg5 Mg 0.5875 0.5875 0.7452
Mg6 Mg 0.4125 0.9203 0.2548
Mg7 Mg 0.3341 0.3341 0.9978
Mg8 Mg 0.0797 0.5875 0.7452
Mg9 Mg 0.9203 0.4125 0.2548
Pr1 Pr 0.0000 0.0000 0.0000
```

***

[2]
The following is a DFT calculation (PBE) of an optimized crystal structure of Pr4HoMg2.

Results
- E_tot (eV/cell) = -25.142
- formation energy from the elements (eV/f.u.) = 1.74
- magnetization (Bohr magnetons per cell) = 0.0
- offset from the most stable computed form (meV per atom) = 100

Structure (CIF):
```
data_Pr4HoMg2
_space_group_name_H-M_alt 'P 1'
_space_group_IT_number 1
_space_group_name_Hall 'P 1'
_cell_length_a 5.6744
_cell_length_b 5.6744
_cell_length_c 9.5917
_cell_angle_alpha 72.79
_cell_angle_beta 72.79
_cell_angle_gamma 60.00
loop_
_atom_site_label
_atom_site_type_symbol
_atom_site_fract_x
_atom_site_fract_y
_atom_site_fract_z
Mg1 Mg 0.8802 0.8802 0.3594
Mg2 Mg 0.1198 0.1198 0.6406
Pr1 Pr 0.6303 0.6303 0.1092
Pr2 Pr 0.3697 0.3697 0.8908
Pr3 Pr 0.2416 0.2416 0.2752
Pr4 Pr 0.7584 0.7584 0.7248
Ho1 Ho 0.0000 0.0000 0.0000
```

***

[3]
The following is a DFT calculation (PBE) of an optimized crystal structure of Pr8Ho2Mg.

Results
- E_tot (eV/cell) = -48.898
- formation energy from the elements (eV/f.u.) = 0.09
- magnetization (Bohr magnetons per cell) = 0.0
- offset from the most stable computed form (meV per atom) = 0

Structure (CIF):
```
data_Pr8Ho2Mg
_space_group_name_H-M_alt 'P 1'
_space_group_IT_number 1
_space_group_name_Hall 'P 1'
_cell_length_a 5.1617
_cell_length_b 8.1490
_cell_length_c 9.6097
_cell_angle_alpha 104.73
_cell_angle_beta 105.58
_cell_angle_gamma 90.00
loop_
_atom_site_label
_atom_site_type_symbol
_atom_site_fract_x
_atom_site_fract_y
_atom_site_fract_z
Pr1 Pr 0.4082 0.5506 0.8165
Pr2 Pr 0.1376 0.1839 0.2753
Pr3 Pr 0.0459 0.7246 0.0918
Pr4 Pr 0.8624 0.8161 0.7247
Pr5 Pr 0.5918 0.4494 0.1835
Pr6 Pr 0.3190 0.0900 0.6379
Pr7 Pr 0.6810 0.9100 0.3621
Pr8 Pr 0.9541 0.2754 0.9082
Ho1 Ho 0.2256 0.6340 0.4513
Ho2 Ho 0.7744 0.3660 0.5487
Mg1 Mg 0.5000 0.0000 0.0000
```

***

[4]
The following is a DFT calculation (PBE) of an optimized crystal structure of Pr5HoMg5.

Results
- E_tot (eV/cell) = -35.053
- formation energy from the elements (eV/f.u.) = 1.40
- magnetization (Bohr magnetons per cell) = 0.1

Structure (CIF):
```
data_Pr5HoMg5
_space_group_name_H-M_alt 'P 1'
_space_group_IT_number 1
_space_group_name_Hall 'P 1'
_cell_length_a 5.9305
_cell_length_b 9.6441
_cell_length_c 6.8133
_cell_angle_alpha 110.61
_cell_angle_beta 90.00
_cell_angle_gamma 107.91
loop_
_atom_site_label
_atom_site_type_symbol
_atom_site_fract_x
_atom_site_fract_y
_atom_site_fract_z
Ho1 Ho 0.0000 0.0000 0.0000
Pr1 Pr 0.6852 0.3703 0.1858
Pr2 Pr 0.6333 0.2666 0.6342
Pr3 Pr 0.0000 0.0000 0.5000
Pr4 Pr 0.3667 0.7334 0.3658
Pr5 Pr 0.3148 0.6297 0.8142
Mg1 Mg 0.1667 0.3334 0.9355
Mg2 Mg 0.8335 0.6670 0.6019
Mg3 Mg 0.5000 0.0000 0.0000
Mg4 Mg 0.1665 0.3330 0.3981
Mg5 Mg 0.8333 0.6666 0.0645
```

***

[5]
The following is a DFT calculation (PBE) of an optimized crystal structure of PrHoMg17.

Results
- E_tot (eV/cell) = -37.121
- formation energy from the elements (eV/f.u.) = -0.66
- magnetization (Bohr magnetons per cell) = 0.0

Structure (CIF):
```
data_PrHoMg17
_space_group_name_H-M_alt 'P 1'
_space_group_IT_number 1
_space_group_name_Hall 'P 1'
_cell_length_a 7.7988
_cell_length_b 7.7988
_cell_length_c 7.7988
_cell_angle_alpha 82.17
_cell_angle_beta 82.17
_cell_angle_gamma 82.17
loop_
_atom_site_label
_atom_site_type_symbol
_atom_site_fract_x
_atom_site_fract_y
_atom_site_fract_z
Mg1 Mg 0.9972 0.9972 0.5025
Mg2 Mg 0.6455 0.6455 0.1630
Mg3 Mg 0.8433 0.3520 0.3520
Mg4 Mg 0.3011 0.0021 0.6967
Mg5 Mg 0.9025 0.9025 0.9025
Mg6 Mg 0.6967 0.3011 0.0021
Mg7 Mg 0.3520 0.3520 0.8433
Mg8 Mg 0.1011 0.1011 0.1011
Mg9 Mg 0.0021 0.3011 0.6967
Mg10 Mg 0.0021 0.6967 0.3011
Mg11 Mg 0.1630 0.6455 0.6455
Mg12 Mg 0.6967 0.0021 0.3011
Mg13 Mg 0.6455 0.1630 0.6455
Mg14 Mg 0.9972 0.5025 0.9972
Mg15 Mg 0.5025 0.9972 0.9972
Mg16 Mg 0.3011 0.6967 0.0021
Mg17 Mg 0.3520 0.8433 0.3520
Ho1 Ho 0.3285 0.3285 0.3285
Pr1 Pr 0.6696 0.6696 0.6696
```

***

[6]
The following is a DFT calculation (PBE) of an optimized crystal structure of Pr7Ho2Mg.

Results
- E_tot (eV/cell) = -38.444
- formation energy from the elements (eV/f.u.) = 5.76
- magnetization (Bohr magnetons per cell) = 0.0

Structure (CIF):
```
data_Pr7Ho2Mg
_space_group_name_H-M_alt 'P 1'
_space_group_IT_number 1
_space_group_name_Hall 'P 1'
_cell_length_a 5.7199
_cell_length_b 9.1988
_cell_length_c 9.1988
_cell_angle_alpha 121.41
_cell_angle_beta 90.00
_cell_angle_gamma 90.00
loop_
_atom_site_label
_atom_site_type_symbol
_atom_site_fract_x
_atom_site_fract_y
_atom_site_fract_z
Pr1 Pr 0.5000 0.9321 0.7087
Pr2 Pr 0.5000 0.0679 0.2913
Pr3 Pr 0.0000 0.2284 0.7716
Pr4 Pr 0.5000 0.7087 0.9321
Pr5 Pr 0.5000 0.5000 0.5000
Pr6 Pr 0.5000 0.2913 0.0679
Pr7 Pr 0.0000 0.7716 0.2284
Ho1 Ho 0.5000 0.7071 0.2929
Ho2 Ho 0.5000 0.2929 0.7071
Mg1 Mg 0.0000 0.0000 0.0000
```

***

[7]
The following is a DFT calculation (PBE) of an optimized crystal structure of Pr6Ho12Mg.

Results
- E_tot (eV/cell) = -82.730
- formation energy from the elements (eV/f.u.) = 2.47
- magnetization (Bohr magnetons per cell) = 0.0
- offset from the most stable computed form (meV per atom) = 3

Structure (CIF):
```
data_Pr6Ho12Mg
_space_group_name_H-M_alt 'P 1'
_space_group_IT_number 1
_space_group_name_Hall 'P 1'
_cell_length_a 8.7059
_cell_length_b 8.7059
_cell_length_c 8.7059
_cell_angle_alpha 97.59
_cell_angle_beta 97.59
_cell_angle_gamma 97.59
loop_
_atom_site_label
_atom_site_type_symbol
_atom_site_fract_x
_atom_site_fract_y
_atom_site_fract_z
Ho1 Ho 0.7384 0.2616 0.0002
Ho2 Ho 0.5934 0.5934 0.1658
Ho3 Ho 0.4066 0.4066 0.8342
Ho4 Ho 0.7384 0.9998 0.2616
Ho5 Ho 0.2616 0.0002 0.7384
Ho6 Ho 0.4066 0.8342 0.4066
Ho7 Ho 0.9998 0.2616 0.7384
Ho8 Ho 0.2616 0.7384 0.9998
Ho9 Ho 0.5934 0.1658 0.5934
Ho10 Ho 0.1658 0.5934 0.5934
Ho11 Ho 0.0002 0.7384 0.2616
Ho12 Ho 0.8342 0.4066 0.4066
Pr1 Pr 0.5908 0.8651 0.8648
Pr2 Pr 0.1349 0.1352 0.4092
Pr3 Pr 0.4092 0.1349 0.1352
Pr4 Pr 0.8648 0.5908 0.8651
Pr5 Pr 0.1352 0.4092 0.1349
Pr6 Pr 0.8651 0.8648 0.5908
Mg1 Mg 0.0000 0.0000 0.0000
```

***

[8]
The following is a DFT calculation (PBE) of an optimized crystal structure of Pr4HoMg2.

Results
- E_tot (eV/cell) = -25.841
- formation energy from the elements (eV/f.u.) = 1.04
- magnetization (Bohr magnetons per cell) = 0.0
- offset from the most stable computed form (meV per atom) = 0

Structure (CIF):
```
data_Pr4HoMg2
_space_group_name_H-M_alt 'P 1'
_space_group_IT_number 1
_space_group_name_Hall 'P 1'
_cell_length_a 6.8046
_cell_length_b 6.8046
_cell_length_c 6.8046
_cell_angle_alpha 104.14
_cell_angle_beta 112.20
_cell_angle_gamma 112.20
loop_
_atom_site_label
_atom_site_type_symbol
_atom_site_fract_x
_atom_site_fract_y
_atom_site_fract_z
Pr1 Pr 0.0000 0.0000 0.5000
Pr2 Pr 0.5000 0.5000 0.5000
Pr3 Pr 0.0000 0.5000 0.0000
Pr4 Pr 0.5000 0.0000 0.0000
Mg1 Mg 0.5000 0.5000 0.0000
Mg2 Mg 0.5000 0.0000 0.5000
Ho1 Ho 0.0000 0.0000 0.0000
```

***

Among the records above, which one has the highest magnetization? Pr5HoMg5